No. 1
Here is a relaxed MgIn2CoPb crystal from Alexandria. Energies are from PBE-GGA.

abc: 4.851 4.851 4.693
angles: 90.00 90.00 90.00
Sites, in units of the cell vectors:
Mg1 0.000 0.000 0.000
In1 0.000 0.500 0.500
In2 0.500 0.000 0.500
Co1 0.000 0.000 0.500
Pb1 0.500 0.500 0.000

- crystal system = tetragonal
- SG = P4/mmm

***

No. 2
Here is a relaxed Mg3In3CoPd2 crystal from Alexandria. Energies are from PBE-GGA.

abc: 7.646 7.646 3.278
angles: 90.00 90.00 120.00
Sites, in units of the cell vectors:
Mg1 0.000 0.391 0.000
Mg2 0.391 0.000 0.000
Mg3 0.609 0.609 0.000
In1 0.000 0.729 0.500
In2 0.271 0.271 0.500
In3 0.729 0.000 0.500
Co1 0.000 0.000 0.000
Pd1 0.333 0.667 0.500
Pd2 0.667 0.333 0.500

- crystal system = hexagonal
- SG = P-62m

***

The spin magnetization results, record by record, are as follows: 0.000 0.621 μB/cell.
The energy of formation from the pure elements results, record by record, are as follows: 82 -293 kJ/mol of formula units.